1.
The following is a DFT calculation (SCAN) of a crystal of V3CrP6O24 relaxed with PBEsol.

Lattice parameters (Å, degrees): 8.6234 8.6234 8.6234 57.86 57.86 57.86
Fractional positions:
V 0.0000 0.0000 0.0000
V 0.2184 0.2184 0.2184
V 0.4964 0.4964 0.4964
Cr 0.7152 0.7152 0.7152
P 0.1073 0.8268 0.3883
P 0.3312 0.6059 0.8896
P 0.3883 0.1073 0.8268
P 0.6059 0.8896 0.3312
P 0.8268 0.3883 0.1073
P 0.8896 0.3312 0.6059
O 0.0860 0.2670 0.4468
O 0.1084 0.8481 0.1986
O 0.1598 0.8021 0.8961
O 0.1633 0.9889 0.3507
O 0.1986 0.1084 0.8481
O 0.2670 0.4468 0.0860
O 0.2733 0.6311 0.4397
O 0.3507 0.1633 0.9889
O 0.3580 0.5644 0.7231
O 0.4397 0.2733 0.6311
O 0.4468 0.0860 0.2670
O 0.5165 0.6012 0.8753
O 0.5550 0.9145 0.8297
O 0.5644 0.7231 0.3580
O 0.6012 0.8753 0.5165
O 0.6311 0.4397 0.2733
O 0.7231 0.3580 0.5644
O 0.8021 0.8961 0.1598
O 0.8297 0.5550 0.9145
O 0.8481 0.1986 0.1084
O 0.8753 0.5165 0.6012
O 0.8961 0.1598 0.8021
O 0.9145 0.8297 0.5550
O 0.9889 0.3507 0.1633

The formation energy without anion corrections comes out at -2.43 eV/atom. For the spin magnetization, the calculation gives 3.01 μB per formula unit.

---

2.
The following is a DFT calculation (SCAN) of a crystal of VCrP4O14 relaxed with PBEsol.

Lattice parameters (Å, degrees): 4.7881 6.9157 7.8803 89.52 89.61 74.72
Fractional positions:
V 0.0000 0.0000 0.0000
Cr 0.5666 0.4615 0.5003
P 0.0262 0.6169 0.2643
P 0.1727 0.2298 0.6813
P 0.3978 0.2334 0.1893
P 0.5453 0.8407 0.7590
O 0.0664 0.2039 0.8642
O 0.2049 0.0891 0.1752
O 0.2119 0.4522 0.1339
O 0.2123 0.6377 0.4149
O 0.3439 0.8291 0.9107
O 0.3633 0.3735 0.6840
O 0.3651 0.0091 0.6327
O 0.4961 0.2444 0.3699
O 0.6448 0.6532 0.6570
O 0.6494 0.1790 0.0628
O 0.7521 0.5590 0.3105
O 0.8052 0.9091 0.8226
O 0.9260 0.2758 0.5570
O 0.9515 0.8051 0.1496

The formation energy without anion corrections comes out at -2.43 eV/atom. For the spin magnetization, the calculation gives 3.00 μB per formula unit.

---

3.
The following is a DFT calculation (SCAN) of a crystal of CrPd3O relaxed with PBEsol.

Lattice parameters (Å, degrees): 4.4376 4.4376 4.4376 90.00 90.00 90.00
Fractional positions:
Cr 0.0000 0.0000 0.0000
Pd 0.0000 0.0000 0.5000
Pd 0.0000 0.5000 0.0000
Pd 0.5000 0.0000 0.0000
O 0.5000 0.5000 0.5000

The formation energy without anion corrections comes out at 1.37 eV/atom. For the spin magnetization, the calculation gives 3.86 μB per formula unit.

---

4.
The following is a DFT calculation (SCAN) of a crystal of Sr2CrPtO relaxed with PBEsol.

Lattice parameters (Å, degrees): 5.1107 5.1107 3.9063 90.00 90.00 90.00
Fractional positions:
Sr 0.0000 0.5000 0.0000
Sr 0.5000 0.0000 0.0000
Cr 0.0000 0.0000 0.5000
Pt 0.5000 0.5000 0.5000
O 0.0000 0.0000 0.0000

The formation energy without anion corrections comes out at -1.31 eV/atom. For the spin magnetization, the calculation gives 4.24 μB per formula unit.

---

5.
The following is a DFT calculation (SCAN) of a crystal of RbCrO2 relaxed with PBEsol.

Lattice parameters (Å, degrees): 7.1023 7.1023 7.1023 25.23 25.23 25.23
Fractional positions:
Rb 0.0000 0.0000 0.0000
Cr 0.5000 0.5000 0.5000
O 0.1212 0.1212 0.1212
O 0.8788 0.8788 0.8788

The formation energy without anion corrections comes out at -1.81 eV/atom. For the spin magnetization, the calculation gives 3.00 μB per formula unit.

---

6.
The following is a DFT calculation (SCAN) of a crystal of RbCrO2 relaxed with PBEsol.

Lattice parameters (Å, degrees): 6.3654 6.3654 6.3654 28.23 28.23 28.23
Fractional positions:
Rb 0.0000 0.0000 0.0000
Cr 0.5000 0.5000 0.5000
O 0.2195 0.2195 0.2195
O 0.7805 0.7805 0.7805

The formation energy without anion corrections comes out at -2.13 eV/atom. For the spin magnetization, the calculation gives 3.00 μB per formula unit.